A plane-wave DFT calculation with PBE was carried out for a relaxed structure of KRb2Eu.

Summary:
V: 71.15 A^3/atom
Calculated formation energy: 150 meV per atom
Energy relative to the lowest polymorph listed for this composition: 0 meV per atom
SG: P4/mmm (123)

POSCAR file:
```
KRb2Eu
1.0
4.402 0.000 0.000
0.000 4.402 0.000
0.000 0.000 14.683
K Rb Eu
1 2 1
Cartesian
0.000 0.000 0.000
2.201 2.201 3.862
2.201 2.201 10.821
0.000 0.000 7.342
```